A plane-wave DFT calculation with GGA-PBE was carried out for a geometry-optimized U2Be2Si3 structure.

Computed properties:
total DFT energy (no corrections)	-6.808	eV/atom
symmetry	Cmcm, No. 63
spin magnetization	0.63	μB/atom
raw formation energy	-1.4	eV/f.u.

abc: 9.063 9.063 6.462
angles: 90.00 90.00 154.78
Atoms (fractional coordinates):
U1 0.047 0.953 0.750
U2 0.169 0.831 0.250
U3 0.831 0.169 0.750
U4 0.953 0.047 0.250
Be1 0.328 0.672 0.086
Be2 0.328 0.672 0.414
Be3 0.672 0.328 0.586
Be4 0.672 0.328 0.914
Si1 0.211 0.789 0.750
Si2 0.437 0.563 0.570
Si3 0.437 0.563 0.930
Si4 0.563 0.437 0.070
Si5 0.563 0.437 0.430
Si6 0.789 0.211 0.250